1.
The following is a PBE calculation of a relaxed structure of TaOsRu2, from the Alexandria database.

Unit cell a=4.755 b=4.755 c=2.794 alpha=90.00 beta=90.00 gamma=108.57
Atoms (fractional coordinates):
Ta 0.000 0.000 0.000
Os 0.500 0.500 0.000
Ru 0.000 0.500 0.500
Ru 0.500 0.000 0.500

The formation energy comes out at -0.089 eV/atom. The space-group type is Cmmm (65).

2.
The following is a PBE calculation of a relaxed structure of Ta5OsRu4, from the Alexandria database.

Unit cell a=3.059 b=3.059 c=17.239 alpha=90.00 beta=90.00 gamma=90.00
Atoms (fractional coordinates):
Ta 0.000 0.000 0.000
Ta 0.000 0.000 0.200
Ta 0.000 0.000 0.400
Ta 0.000 0.000 0.600
Ta 0.000 0.000 0.800
Os 0.500 0.500 0.500
Ru 0.500 0.500 0.094
Ru 0.500 0.500 0.306
Ru 0.500 0.500 0.694
Ru 0.500 0.500 0.906

The formation energy comes out at -0.294 eV/atom. The space-group type is P4/mmm (123).

3.
The following is a PBE calculation of a relaxed structure of TaOs2Ru2, from the Alexandria database.

Unit cell a=7.419 b=7.419 c=2.789 alpha=90.00 beta=90.00 gamma=90.00
Atoms (fractional coordinates):
Ta 0.000 0.000 0.000
Ta 0.500 0.500 0.000
Os 0.173 0.327 0.500
Os 0.327 0.827 0.500
Os 0.673 0.173 0.500
Os 0.827 0.673 0.500
Ru 0.123 0.623 0.000
Ru 0.377 0.123 0.000
Ru 0.623 0.877 0.000
Ru 0.877 0.377 0.000

The formation energy comes out at 0.111 eV/atom. The space-group type is P4/mbm (127).

4.
The following is a PBE calculation of a relaxed structure of TaOsRu2, from the Alexandria database.

Unit cell a=9.310 b=9.310 c=9.310 alpha=17.03 beta=17.03 gamma=17.03
Atoms (fractional coordinates):
Ta 0.000 0.000 0.000
Os 0.245 0.245 0.245
Ru 0.500 0.500 0.500
Ru 0.753 0.753 0.753

The formation energy comes out at 0.118 eV/atom. The space-group type is R3m (160).

5.
The following is a PBE calculation of a relaxed structure of Ta3OsRu2, from the Alexandria database.

Unit cell a=6.847 b=6.847 c=6.882 alpha=90.00 beta=90.00 gamma=143.19
Atoms (fractional coordinates):
Ta 0.000 0.000 0.250
Ta 0.000 0.000 0.750
Ta 0.333 0.667 0.250
Ta 0.333 0.667 0.750
Ta 0.667 0.333 0.250
Ta 0.667 0.333 0.750
Os 0.165 0.835 0.000
Os 0.835 0.165 0.000
Ru 0.167 0.833 0.500
Ru 0.500 0.500 0.000
Ru 0.500 0.500 0.500
Ru 0.833 0.167 0.500

The formation energy comes out at -0.300 eV/atom. The space-group type is Cmmm (65).

6.
The following is a PBE calculation of a relaxed structure of TaOs2Ru2, from the Alexandria database.

Unit cell a=7.431 b=7.431 c=2.789 alpha=90.00 beta=90.00 gamma=90.00
Atoms (fractional coordinates):
Ta 0.000 0.000 0.000
Ta 0.500 0.500 0.000
Os 0.124 0.376 0.000
Os 0.376 0.876 0.000
Os 0.624 0.124 0.000
Os 0.876 0.624 0.000
Ru 0.173 0.673 0.500
Ru 0.327 0.173 0.500
Ru 0.673 0.827 0.500
Ru 0.827 0.327 0.500

The formation energy comes out at 0.102 eV/atom. The space-group type is P4/mbm (127).

7.
The following is a PBE calculation of a relaxed structure of TaOsRu2, from the Alexandria database.

Unit cell a=2.798 b=3.840 c=5.603 alpha=90.00 beta=90.00 gamma=90.00
Atoms (fractional coordinates):
Ta 0.000 0.000 0.000
Os 0.000 0.000 0.500
Ru 0.500 0.500 0.263
Ru 0.500 0.500 0.737

The formation energy comes out at -0.080 eV/atom. The space-group type is Pmmm (47).

8.
The following is a PBE calculation of a relaxed structure of TaOs3Ru, from the Alexandria database.

Unit cell a=4.596 b=4.596 c=4.596 alpha=90.00 beta=90.00 gamma=90.00
Atoms (fractional coordinates):
Ta 0.000 0.000 0.000
Os 0.000 0.500 0.500
Os 0.500 0.000 0.500
Os 0.500 0.500 0.000
Ru 0.500 0.500 0.500

The formation energy comes out at 2.186 eV/atom. The space-group type is Pm-3m (221).

9.
The following is a PBE calculation of a relaxed structure of TaOsRu, from the Alexandria database.

Unit cell a=5.286 b=5.286 c=5.286 alpha=145.36 beta=145.36 gamma=49.80
Atoms (fractional coordinates):
Ta 0.000 0.000 0.000
Os 0.346 0.346 0.000
Ru 0.655 0.655 0.000

The formation energy comes out at 0.031 eV/atom. The space-group type is I4mm (107).

10.
The following is a PBE calculation of a relaxed structure of TaOsRu, from the Alexandria database.

Unit cell a=4.421 b=4.421 c=2.767 alpha=90.00 beta=90.00 gamma=120.00
Atoms (fractional coordinates):
Ta 0.000 0.000 0.000
Os 0.333 0.667 0.310
Ru 0.667 0.333 0.768

The formation energy comes out at 0.066 eV/atom. The space-group type is P3m1 (156).

11.
The following is a PBE calculation of a relaxed structure of Ta3OsRu2, from the Alexandria database.

Unit cell a=3.060 b=3.060 c=10.302 alpha=90.00 beta=90.00 gamma=90.00
Atoms (fractional coordinates):
Ta 0.000 0.000 0.000
Ta 0.000 0.000 0.333
Ta 0.000 0.000 0.667
Os 0.500 0.500 0.500
Ru 0.500 0.500 0.170
Ru 0.500 0.500 0.830

The formation energy comes out at -0.310 eV/atom. The space-group type is P4/mmm (123).

12.
The following is a PBE calculation of a relaxed structure of TaOsRu, from the Alexandria database.

Unit cell a=5.619 b=4.348 c=4.471 alpha=90.00 beta=90.00 gamma=90.00
Atoms (fractional coordinates):
Ta 0.250 0.000 0.010
Ta 0.750 0.000 0.990
Os 0.250 0.500 0.407
Os 0.750 0.500 0.593
Ru 0.000 0.000 0.500
Ru 0.500 0.000 0.500

The formation energy comes out at 0.663 eV/atom. The space-group type is Pmma (51).